# 1
A plane-wave DFT calculation with PBE was carried out for Na2RuCl6 after structural relaxation.

Computed properties:
The polymorph energy (0 for the lowest one) comes out at 0 meV per atom. The calculation puts the density of states at the Fermi level at 5.8 states/eV/f.u. The raw total energy is -3.63 eV/atom. For the formation energy (no corrections), the calculation gives -24.83 kcal/mol of atoms.

Cell lengths 6.6660, 6.9824, 9.5816 Å; angles 90.00, 92.82, 90.00 degrees
With the nearest neighbours (Å) after each atom.
Atoms (fractional coordinates):
Na 0.9680 0.4046 0.7707  7 Cl 2.84-3.18
Na 0.5320 0.9046 0.7293  7 Cl 2.84-3.18
Na 0.4680 0.0954 0.2707  7 Cl 2.84-3.18
Na 0.0320 0.5954 0.2293  7 Cl 2.84-3.18
Ru 0.5000 0.5000 0.0000  6 Cl 2.34-2.37
Ru 0.0000 0.0000 0.5000  6 Cl 2.34-2.37
Cl 0.8733 0.9694 0.2677  1 Ru 2.35
Cl 0.8343 0.7175 0.5586  1 Ru 2.34
Cl 0.7847 0.6814 0.9438  1 Ru 2.37
Cl 0.7153 0.1814 0.5562  1 Ru 2.37
Cl 0.6657 0.2175 0.9414  1 Ru 2.34
Cl 0.6267 0.4694 0.2323  1 Ru 2.35
Cl 0.1267 0.0306 0.7323  1 Ru 2.35
Cl 0.1657 0.2825 0.4414  1 Ru 2.34
Cl 0.2153 0.3186 0.0562  1 Ru 2.37
Cl 0.2847 0.8186 0.4438  1 Ru 2.37
Cl 0.3343 0.7825 0.0586  1 Ru 2.34
Cl 0.3733 0.5306 0.7677  1 Ru 2.35

# 2
A plane-wave DFT calculation with PBE was carried out for NaRuCl2 after structural relaxation.

Computed properties:
The polymorph energy (0 for the lowest one) comes out at 0 meV per atom. The calculation puts the density of states at the Fermi level at 3.5 states/eV/f.u. The raw total energy is -3.91 eV/atom. For the formation energy (no corrections), the calculation gives -7.70 kcal/mol of atoms.

Cell lengths 8.4496, 8.4496, 8.4496 Å; angles 23.52, 23.52, 23.52 degrees
With the nearest neighbours (Å) after each atom.
Atoms (fractional coordinates):
Ru 0.0000 0.0000 0.0000  2 Cl 2.31
Na 0.5000 0.5000 0.5000  6 Cl 2.68
Cl 0.9061 0.9061 0.9061  1 Ru 2.31
Cl 0.0939 0.0939 0.0939  1 Ru 2.31

# 3
A plane-wave DFT calculation with PBE was carried out for Na2RuCl5 after structural relaxation.

Computed properties:
The polymorph energy (0 for the lowest one) comes out at 68 meV per atom. The calculation puts the density of states at the Fermi level at 8.8 states/eV/f.u. The raw total energy is -3.64 eV/atom. For the formation energy (no corrections), the calculation gives -23.04 kcal/mol of atoms.

Cell lengths 7.4441, 7.4233, 6.8467 Å; angles 113.97, 122.93, 90.00 degrees
With the nearest neighbours (Å) after each atom.
Atoms (fractional coordinates):
Na 0.1092 0.5934 0.2184  4 Cl 2.73-2.75
Na 0.6289 0.0793 0.2577  5 Cl 2.76-2.87
Ru 0.0269 0.0297 0.0538  5 Cl 2.24-2.37
Cl 0.8571 0.2845 0.1629  1 Ru 2.37
Cl 0.3058 0.2845 0.1629  1 Ru 2.37
Cl 0.7987 0.7978 0.0422  1 Ru 2.37
Cl 0.2435 0.7978 0.0422  1 Ru 2.37
Cl 0.8069 0.9099 0.6138  1 Ru 2.24

# 4
A plane-wave DFT calculation with PBE was carried out for NaRuCl3 after structural relaxation.

Computed properties:
The polymorph energy (0 for the lowest one) comes out at 836 meV per atom. The calculation puts the density of states at the Fermi level at 5.7 states/eV/f.u. The raw total energy is -3.03 eV/atom. For the formation energy (no corrections), the calculation gives 4.50 kcal/mol of atoms.

Cell lengths 4.9774, 4.9774, 4.9774 Å; angles 90.00, 90.00, 90.00 degrees
With the nearest neighbours (Å) after each atom.
Atoms (fractional coordinates):
Ru 0.5000 0.5000 0.5000  12 Cl 3.52
Na 0.0000 0.0000 0.0000  6 Cl 2.49
Cl 0.0000 0.5000 0.0000  2 Na 2.49
Cl 0.0000 0.0000 0.5000  2 Na 2.49
Cl 0.5000 0.0000 0.0000  2 Na 2.49